# 1
# NbSb2AsI, optimized geometry, DFT PBE
data_NbSb2AsI
_chemical_formula_sum 'Nb1 Sb2 As1 I1'
_symmetry_space_group_name_H-M 'P 4/m m m'
_symmetry_Int_Tables_number 123
_symmetry_space_group_name_Hall '-P 4 2'
_cell_length_a 5.307
_cell_length_b 5.307
_cell_length_c 5.427
_cell_angle_alpha 90.00
_cell_angle_beta 90.00
_cell_angle_gamma 90.00
loop_
_atom_site_label
_atom_site_fract_x
_atom_site_fract_y
_atom_site_fract_z
Nb1 0.000 0.000 0.000
Sb1 0.000 0.500 0.500
As1 0.500 0.500 0.500
I1 0.500 0.500 0.000
# **Raw total energy**: -3.7861 eV/atom
# **Energy above the most stable polymorph in this dataset**: 0.448 eV/atom
# **E_form (uncorrected)**: 1116.7 meV per atom
# **Crystal system**: tetragonal
# **Density of states at the Fermi level**: 0.814 states/eV/atom

# 2
# NaSiAs2O8, optimized geometry, DFT PBE
data_NaSiAs2O8
_chemical_formula_sum 'Na3 Si3 As6 O24'
_symmetry_space_group_name_H-M 'R -3 m'
_symmetry_Int_Tables_number 166
_symmetry_space_group_name_Hall '-R 3 2"'
_cell_length_a 5.1863
_cell_length_b 5.1863
_cell_length_c 24.9814
_cell_angle_alpha 90.00
_cell_angle_beta 90.00
_cell_angle_gamma 120.00
loop_
_atom_site_label
_atom_site_fract_x
_atom_site_fract_y
_atom_site_fract_z
Na1 0.0000 0.0000 0.0000
Si1 0.0000 0.0000 0.5000
As1 0.0000 0.0000 0.2331
O1 0.0000 0.0000 0.3001
O2 0.0232 0.5116 0.1236
# **Raw total energy**: -5.9840 eV/atom
# **E_form (uncorrected)**: -1341.8 meV per atom
# **Crystal system**: trigonal
# **Density of states at the Fermi level**: 0.700 states/eV/atom

# 3
# TlTc2Br2, optimized geometry, DFT PBE
data_TlTc2Br2
_chemical_formula_sum 'Tl2 Tc4 Br4'
_symmetry_space_group_name_H-M 'P 4/m b m'
_symmetry_Int_Tables_number 127
_symmetry_space_group_name_Hall '-P 4 2ab'
_cell_length_a 8.777
_cell_length_b 8.777
_cell_length_c 3.273
_cell_angle_alpha 90.00
_cell_angle_beta 90.00
_cell_angle_gamma 90.00
loop_
_atom_site_label
_atom_site_fract_x
_atom_site_fract_y
_atom_site_fract_z
Tl1 0.000 0.000 0.000
Tc1 0.084 0.416 0.000
Br1 0.242 0.742 0.500
# **Raw total energy**: -4.5659 eV/atom
# **Energy above the most stable polymorph in this dataset**: 0.106 eV/atom
# **E_form (uncorrected)**: 722.9 meV per atom
# **Crystal system**: tetragonal
# **Density of states at the Fermi level**: 0.947 states/eV/atom